Entry 1:
The following is a DFT calculation (GGA-PBE) of an optimized crystal structure of Hf2MgNi2.

Its density of states at the Fermi level is 3.951 states/eV/cell. Its symmetry is I4/mmm (139).

a b c (Å): 3.3321 3.3321 8.8013
angles (deg): 79.09 79.09 90.00
Element x y z (fractional)
Ni (0.7500, 0.2500, 0.5000)
Ni (0.2500, 0.7500, 0.5000)
Hf (0.3686, 0.3686, 0.2628)
Hf (0.6314, 0.6314, 0.7372)
Mg (0.0000, 0.0000, 0.0000)

=====

Entry 2:
The following is a DFT calculation (GGA-PBE) of an optimized crystal structure of BaTa2InC.

Its density of states at the Fermi level is 5.876 states/eV/cell. Its symmetry is P4/mmm (123).

a b c (Å): 5.3806 4.3497 5.3806
angles (deg): 90.00 90.00 90.00
Element x y z (fractional)
Ta (0.5000, 0.0000, 0.0000)
Ta (0.0000, 0.0000, 0.5000)
C (0.0000, 0.5000, 0.0000)
Ba (0.5000, 0.5000, 0.5000)
In (0.0000, 0.0000, 0.0000)

=====

Energy of formation from the pure elements
In order: 0.023 2.338
Unit: eV per atom
VASP energy
In order: -6.5894 -5.1796
Unit: eV per atom
Size of the total moment
In order: 0.00 0.00
Unit: μB/f.u.